(1)
{
  "formula": "Al5Ge3O12",
  "functional": "PBE",
  "state": "relaxed",
  "cell": [[10.3005, 0.0000, 0.0000], [-3.4335, 9.7114, 0.0000], [-3.4335, -4.8557, 8.4103]],
  "species": ["Al", "Al", "Al", "Al", "Al", "Al", "Al", "Al", "Al", "Al", "Al", "Al", "Al", "Al", "Al", "Al", "Al", "Al", "Al", "Al", "O", "O", "O", "O", "O", "O", "O", "O", "O", "O", "O", "O", "O", "O", "O", "O", "O", "O", "O", "O", "O", "O", "O", "O", "O", "O", "O", "O", "O", "O", "O", "O", "O", "O", "O", "O", "O", "O", "O", "O", "O", "O", "O", "O", "O", "O", "O", "O", "Ge", "Ge", "Ge", "Ge", "Ge", "Ge", "Ge", "Ge", "Ge", "Ge", "Ge", "Ge"],
  "frac_coords": [[0.1250, 0.3750, 0.2500], [0.2500, 0.8750, 0.1250], [0.5000, 0.5000, 0.0000], [0.6250, 0.8750, 0.2500], [0.0000, 0.0000, 0.5000], [0.8750, 0.6250, 0.7500], [0.6250, 0.7500, 0.8750], [0.1250, 0.7500, 0.3750], [0.5000, 0.0000, 0.5000], [0.7500, 0.1250, 0.8750], [0.0000, 0.5000, 0.5000], [0.5000, 0.5000, 0.5000], [0.0000, 0.5000, 0.0000], [0.7500, 0.6250, 0.3750], [0.5000, 0.0000, 0.0000], [0.2500, 0.3750, 0.6250], [0.0000, 0.0000, 0.0000], [0.8750, 0.2500, 0.6250], [0.3750, 0.2500, 0.1250], [0.3750, 0.1250, 0.7500], [0.5239, 0.3228, 0.9009], [0.8769, 0.2988, 0.4761], [0.0781, 0.1772, 0.2012], [0.4009, 0.0239, 0.3228], [0.0781, 0.9009, 0.3769], [0.3769, 0.4009, 0.0781], [0.7012, 0.1231, 0.0239], [0.5781, 0.7012, 0.6772], [0.1231, 0.7012, 0.5239], [0.0239, 0.6231, 0.7012], [0.4761, 0.7988, 0.8769], [0.9009, 0.0781, 0.8769], [0.5991, 0.6231, 0.4219], [0.6772, 0.2012, 0.5781], [0.0239, 0.4009, 0.8228], [0.4009, 0.3769, 0.5781], [0.9219, 0.0991, 0.6231], [0.1772, 0.0781, 0.7012], [0.7988, 0.4761, 0.3769], [0.2988, 0.8769, 0.9761], [0.2988, 0.4219, 0.8228], [0.0991, 0.9219, 0.1231], [0.9761, 0.5991, 0.1772], [0.4219, 0.2988, 0.3228], [0.3769, 0.9761, 0.7988], [0.1231, 0.4219, 0.0991], [0.9761, 0.3769, 0.2988], [0.8228, 0.9009, 0.0239], [0.6772, 0.4761, 0.5991], [0.2012, 0.6772, 0.0781], [0.1772, 0.0991, 0.9761], [0.7012, 0.5781, 0.1772], [0.5239, 0.2012, 0.1231], [0.3228, 0.5239, 0.4009], [0.3228, 0.7988, 0.4219], [0.4219, 0.1231, 0.5991], [0.5781, 0.8769, 0.4009], [0.8769, 0.5781, 0.9009], [0.7988, 0.3228, 0.9219], [0.6231, 0.0239, 0.2012], [0.5991, 0.9761, 0.6772], [0.9009, 0.8228, 0.5239], [0.0991, 0.1772, 0.4761], [0.6231, 0.5991, 0.9219], [0.9219, 0.8228, 0.7988], [0.2012, 0.5239, 0.6231], [0.8228, 0.9219, 0.2988], [0.4761, 0.6772, 0.0991], [0.6250, 0.2500, 0.3750], [0.1250, 0.8750, 0.7500], [0.7500, 0.8750, 0.6250], [0.2500, 0.1250, 0.3750], [0.8750, 0.1250, 0.2500], [0.8750, 0.7500, 0.1250], [0.6250, 0.3750, 0.7500], [0.3750, 0.7500, 0.6250], [0.1250, 0.2500, 0.8750], [0.2500, 0.6250, 0.8750], [0.7500, 0.3750, 0.1250], [0.3750, 0.6250, 0.2500]]
}


(2)
{
  "formula": "AlGeO3",
  "functional": "PBE",
  "state": "relaxed",
  "cell": [[3.6786, 0.0000, 0.0000], [0.0000, 3.6786, 0.0000], [0.0000, 0.0000, 3.6786]],
  "species": ["Al", "O", "O", "O", "Ge"],
  "frac_coords": [[0.0000, 0.0000, 0.0000], [0.0000, 0.0000, 0.5000], [0.0000, 0.5000, 0.0000], [0.5000, 0.0000, 0.0000], [0.5000, 0.5000, 0.5000]]
}


(3)
{
  "formula": "Al2Ge3O9",
  "functional": "PBE",
  "state": "relaxed",
  "cell": [[-5.1728, -0.6867, -2.1103], [2.0795, -3.7622, 3.6339], [-4.2553, 5.8761, 8.5187]],
  "species": ["O", "O", "O", "O", "O", "O", "O", "O", "O", "O", "O", "O", "O", "O", "O", "O", "O", "O", "Al", "Al", "Al", "Al", "Ge", "Ge", "Ge", "Ge", "Ge", "Ge"],
  "frac_coords": [[0.3917, 0.0000, 0.4094], [0.6084, 0.6083, 0.4094], [0.3916, 0.3917, 0.5906], [0.3916, 0.3917, 0.9094], [0.0000, 0.6084, 0.5906], [0.6084, 0.6083, 0.0906], [0.0000, 0.6084, 0.9094], [0.0000, 0.3916, 0.0906], [0.6992, 0.6992, 0.7500], [0.0000, 0.3916, 0.4094], [0.6083, 0.0000, 0.9094], [0.0000, 0.6992, 0.2500], [0.3008, 0.3008, 0.2500], [0.3917, 0.0000, 0.0906], [0.6083, 0.0000, 0.5906], [0.0000, 0.3008, 0.7500], [0.3008, 0.0000, 0.7500], [0.6992, 0.0000, 0.2500], [0.6667, 0.3333, 0.5000], [0.3333, 0.6667, 0.5000], [0.3333, 0.6667, 0.0000], [0.6667, 0.3333, 0.0000], [0.0000, 0.6638, 0.7500], [0.3362, 0.0000, 0.2500], [0.6638, 0.6638, 0.2500], [0.3362, 0.3362, 0.7500], [0.0000, 0.3362, 0.2500], [0.6638, 0.0000, 0.7500]]
}


(4)
{
  "formula": "AlGeO4",
  "functional": "PBE",
  "state": "relaxed",
  "e_above_lowest_polymorph_mev_per_atom": 135.3,
  "cell": [[5.0237, 0.6339, 0.0000], [0.2322, 5.0582, 0.0000], [0.0000, 0.0000, 5.7004]],
  "species": ["O", "O", "O", "O", "O", "O", "O", "O", "Al", "Al", "Ge", "Ge"],
  "frac_coords": [[0.6616, 0.6616, 0.5308], [0.3384, 0.3384, 0.0308], [0.2480, 0.8238, 0.2500], [0.7520, 0.1762, 0.7500], [0.3384, 0.3384, 0.4692], [0.1762, 0.7520, 0.7500], [0.6616, 0.6616, 0.9692], [0.8238, 0.2480, 0.2500], [0.4593, 0.4593, 0.7500], [0.5407, 0.5407, 0.2500], [0.1737, 0.1737, 0.2500], [0.8263, 0.8263, 0.7500]]
}


(5)
{
  "formula": "AlGe2O",
  "functional": "PBE",
  "state": "relaxed",
  "e_above_lowest_polymorph_mev_per_atom": 0.0,
  "cell": [[-3.4359, 1.5449, -3.2638], [-3.5271, -0.4708, 3.4903], [-2.5528, 6.1986, 1.8155]],
  "species": ["Ge", "Ge", "Ge", "Ge", "O", "O", "Al", "Al"],
  "frac_coords": [[0.8750, 0.7941, 0.7500], [0.2059, 0.6250, 0.2500], [0.5441, 0.1250, 0.2500], [0.3750, 0.4559, 0.7500], [0.5000, 0.5000, 0.0000], [0.2500, 0.7500, 0.5000], [0.7500, 0.2500, 0.5000], [0.0000, 0.0000, 0.0000]]
}


(6)
{
  "formula": "AlGeO3",
  "functional": "PBE",
  "state": "relaxed",
  "cell": [[3.7034, 0.0000, 0.0000], [0.0000, 3.7034, 0.0000], [0.0000, 0.0000, 3.7034]],
  "species": ["O", "O", "O", "Al", "Ge"],
  "frac_coords": [[0.0000, 0.5000, 0.0000], [0.5000, 0.0000, 0.0000], [0.0000, 0.0000, 0.5000], [0.5000, 0.5000, 0.5000], [0.0000, 0.0000, 0.0000]]
}


no.,formation energy (no corrections) (kJ/mol of formula units)
1,-4062
2,-734
3,-2462
4,-1032
5,-47
6,-513